This record from the Alexandria database describes an optimized crystal structure of Sr2CuPt. The functional is GGA-PBEsol.

```
data_Sr2CuPt
_symmetry_space_group_name_H-M 'P 1'
_symmetry_Int_Tables_number 1
_symmetry_space_group_name_Hall 'P 1'
_cell_length_a 5.1511
_cell_length_b 5.1511
_cell_length_c 5.1511
_cell_angle_alpha 60.00
_cell_angle_beta 60.00
_cell_angle_gamma 60.00
loop_
_atom_site_label
_atom_site_fract_x
_atom_site_fract_y
_atom_site_fract_z
Sr1 0.2500 0.2500 0.2500
Sr2 0.7500 0.7500 0.7500
Cu1 0.0000 0.0000 0.0000
Pt1 0.5000 0.5000 0.5000
```

Results
**ρ**: 7.45 Mg/m³
**Volume**: 96.6 Å³/cell
**Total moment**: 0.0 μB per cell
**ΔE_f**: -0.312 eV per atom